No. 1
The following is a DFT calculation (PBE-GGA) of a relaxed structure of Zr3PaBi.

The value obtained for the total energy is -7.926 eV per atom.

It has space group P-1 (No. 2), with a = 3.839 Å, b = 5.794 Å, c = 11.539 Å, α = 85.46°, β = 90.00° and γ = 70.69°. Symmetry generates all atoms from Zr at (0.047, 0.405, 0.343), Zr at (0.243, 0.014, 0.741), Zr at (0.438, 0.624, 0.133), Pa at (0.349, 0.803, 0.455) and Bi at (0.144, 0.212, 0.078).

***

No. 2
The following is a DFT calculation (PBE-GGA) of a relaxed structure of ZrPa2Bi3.

The value obtained for the total energy is -6.619 eV per atom.

It has space group C2/m (No. 12), with a = 7.975 Å, b = 12.896 Å, c = 7.363 Å, α = 90.00°, β = 108.05° and γ = 90.00°. Symmetry generates all atoms from Zr at (0.000, 0.187, 0.000), Pa at (0.000, 0.000, 0.500), Pa at (0.000, 0.358, 0.500), Pa at (0.000, 0.500, 0.000), Bi at (0.211, 0.000, 0.210) and Bi at (0.236, 0.172, 0.745).

***

No. 3
The following is a DFT calculation (PBE-GGA) of a relaxed structure of Zr4PaBi2.

The value obtained for the total energy is -7.478 eV per atom.

It has space group Cc (No. 9), with a = 8.597 Å, b = 14.018 Å, c = 7.154 Å, α = 90.00°, β = 125.32° and γ = 90.00°. Symmetry generates all atoms from Zr at (0.000, 0.015, 0.000), Zr at (0.027, 0.212, 0.387), Zr at (0.220, 0.361, 0.965), Zr at (0.361, 0.054, 0.536), Pa at (0.241, 0.149, 0.926), Bi at (0.160, 0.428, 0.539) and Bi at (0.394, 0.255, 0.404).

***

No. 4
The following is a DFT calculation (PBE-GGA) of a relaxed structure of Zr2PaBi.

The value obtained for the total energy is -7.581 eV per atom. The excess energy over the best structure of this formula in the dataset comes out at 0.181 eV/atom.

It has space group R3m (No. 160, hexagonal axes), with a = 3.3070 Å, b = 3.3070 Å, c = 31.7401 Å, α = 90.00°, β = 90.00° and γ = 120.00°. Symmetry generates all atoms from Zr at (0.0000, 0.0000, 0.0000), Zr at (0.0000, 0.0000, 0.1680), Pa at (0.0000, 0.0000, 0.7504) and Bi at (0.0000, 0.0000, 0.5836).

***

No. 5
The following is a DFT calculation (PBE-GGA) of a relaxed structure of Zr2PaBi.

The value obtained for the total energy is -7.762 eV per atom. The excess energy over the best structure of this formula in the dataset comes out at 0.000 eV/atom.

It has space group P4/mmm (No. 123), with a = 4.881 Å, b = 4.881 Å, c = 4.001 Å, α = 90.00°, β = 90.00° and γ = 90.00°. Symmetry generates all atoms from Zr at (0.000, 0.500, 0.000), Pa at (0.000, 0.000, 0.500) and Bi at (0.500, 0.500, 0.500).

***

No. 6
The following is a DFT calculation (PBE-GGA) of a relaxed structure of ZrPaBi2.

The value obtained for the total energy is -6.645 eV per atom. The excess energy over the best structure of this formula in the dataset comes out at 0.000 eV/atom.

It has space group Fm-3m (No. 225), with a = 7.479 Å, b = 7.479 Å, c = 7.479 Å, α = 90.00°, β = 90.00° and γ = 90.00°. Symmetry generates all atoms from Zr at (0.000, 0.000, 0.000), Pa at (0.000, 0.000, 0.500) and Bi at (0.250, 0.250, 0.250).

***

No. 7
The following is a DFT calculation (PBE-GGA) of a relaxed structure of ZrPaBi2.

The value obtained for the total energy is -6.285 eV per atom. The excess energy over the best structure of this formula in the dataset comes out at 0.361 eV/atom.

It has space group R-3m (No. 166, hexagonal axes), with a = 3.3152 Å, b = 3.3152 Å, c = 35.1854 Å, α = 90.00°, β = 90.00° and γ = 120.00°. Symmetry generates all atoms from Zr at (0.0000, 0.0000, 0.0000), Pa at (0.0000, 0.0000, 0.5000) and Bi at (0.0000, 0.0000, 0.0873).

***

No. 8
The following is a DFT calculation (PBE-GGA) of a relaxed structure of Zr2PaBi2.

The value obtained for the total energy is -6.842 eV per atom.

It has space group C2/c (No. 15), with a = 9.177 Å, b = 12.210 Å, c = 5.751 Å, α = 90.00°, β = 120.48° and γ = 90.00°. Symmetry generates all atoms from Zr at (0.193, 0.078, 0.359), Pa at (0.000, 0.418, 0.750), Bi at (0.000, 0.140, 0.750) and Bi at (0.000, 0.301, 0.250).

***

No. 9
The following is a DFT calculation (PBE-GGA) of a relaxed structure of Zr2PaBi.

The value obtained for the total energy is -7.659 eV per atom. The excess energy over the best structure of this formula in the dataset comes out at 0.102 eV/atom.

It has space group Amm2 (No. 38), with a = 10.062 Å, b = 3.424 Å, c = 5.692 Å, α = 90.00°, β = 90.00° and γ = 90.00°. Symmetry generates all atoms from Zr at (0.248, 0.000, 0.000), Pa at (0.500, 0.000, 0.500) and Bi at (0.000, 0.000, 0.651).

***

No. 10
The following is a DFT calculation (PBE-GGA) of a relaxed structure of Zr3PaBi4.

The value obtained for the total energy is -6.466 eV per atom.

It has space group Cmmm (No. 65), with a = 8.495 Å, b = 12.170 Å, c = 4.376 Å, α = 90.00°, β = 90.00° and γ = 90.00°. Symmetry generates all atoms from Zr at (0.000, 0.000, 0.000), Zr at (0.250, 0.250, 0.500), Pa at (0.000, 0.500, 0.000), Bi at (0.000, 0.245, 0.000) and Bi at (0.239, 0.000, 0.500).

***

No. 11
The following is a DFT calculation (PBE-GGA) of a relaxed structure of BiPb5.

The value obtained for the total energy is -3.725 eV per atom. The excess energy over the best structure of this formula in the dataset comes out at 0.001 eV/atom.

It has space group P2_1/m (No. 11), with a = 6.143 Å, b = 10.654 Å, c = 6.178 Å, α = 90.00°, β = 109.42° and γ = 90.00°. Symmetry generates all atoms from Bi at (0.002, 0.250, 0.252), Pb at (0.000, 0.084, 0.750), Pb at (0.498, 0.750, 0.248) and Pb at (0.499, 0.085, 0.250).

***

No. 12
The following is a DFT calculation (PBE-GGA) of a relaxed structure of Bi3Pb.

The value obtained for the total energy is -3.723 eV per atom. The excess energy over the best structure of this formula in the dataset comes out at 0.051 eV/atom.

It has space group Pm-3m (No. 221), with a = 5.041 Å, b = 5.041 Å, c = 5.041 Å, α = 90.00°, β = 90.00° and γ = 90.00°. Symmetry generates all atoms from Bi at (0.000, 0.000, 0.500) and Pb at (0.500, 0.500, 0.500).

***

Sequential mass density output: 9.82, 10.89, 9.57, 10.31, 10.84, 11.75, 11.01, 9.94, 10.54, 9.84, 10.84, 10.81 g/cm³
Sequential D(E_F) output: 12.40, 41.77, 27.96, 15.57, 5.45, 25.35, 16.75, 29.46, 8.59, 18.40, 6.80, 4.05 states/eV per cell
Sequential DFT formation energy output: -11.8, -8.5, -12.4, 3.6, -13.8, -18.7, 16.1, 2.8, -3.9, -12.9, 1.2, 11.1 kJ per mole of atoms